RbGaAg2 | PBE | relaxed

Output
- energy of formation from the pure elements (kJ per mole of atoms) = 8
- relative energy among the computed polymorphs (eV per atom) = 0.1284
- DFT total energy (eV/f.u.) = -9.34

Lattice parameters (Å, degrees): 9.5936 9.5936 9.5936 146.28 146.28 48.43
Positions (direct):
Rb: 0.3750 0.6250 0.7500
Rb: 0.6250 0.3750 0.2500
Ga: 0.1250 0.8750 0.2500
Ga: 0.8750 0.1250 0.7500
Ag: 0.0000 0.0000 0.0000
Ag: 0.0000 0.0000 0.5000
Ag: 0.0000 0.5000 0.0000
Ag: 0.5000 0.0000 0.5000


BaLa2TcHg | PBE | relaxed

Output
- energy of formation from the pure elements (kJ per mole of atoms) = -3
- DFT total energy (eV/f.u.) = -22.58

Lattice parameters (Å, degrees): 5.3872 5.3872 5.7655 90.00 90.00 90.00
Positions (direct):
Ba: 0.0000 0.0000 0.0000
La: 0.0000 0.5000 0.5000
La: 0.5000 0.0000 0.5000
Tc: 0.5000 0.5000 0.5000
Hg: 0.5000 0.5000 0.0000


Tb12NdTh7 | PBE | relaxed

Output
- energy of formation from the pure elements (kJ per mole of atoms) = 89
- DFT total energy (eV/f.u.) = -93.79

Lattice parameters (Å, degrees): 10.0235 10.0235 10.0235 109.47 109.47 109.47
Positions (direct):
Tb: 0.0023 0.7432 0.2592
Tb: 0.2568 0.2592 0.5160
Tb: 0.2568 0.7408 0.9977
Tb: 0.2592 0.0023 0.7432
Tb: 0.2592 0.5160 0.2568
Tb: 0.4840 0.7432 0.7408
Tb: 0.5160 0.2568 0.2592
Tb: 0.7408 0.4840 0.7432
Tb: 0.7408 0.9977 0.2568
Tb: 0.7432 0.2592 0.0023
Tb: 0.7432 0.7408 0.4840
Tb: 0.9977 0.2568 0.7408
Nd: 0.0000 0.0000 0.0000
Th: 0.0000 0.0000 0.5000
Th: 0.0000 0.5000 0.0000
Th: 0.0000 0.5000 0.5000
Th: 0.5000 0.0000 0.0000
Th: 0.5000 0.0000 0.5000
Th: 0.5000 0.5000 0.0000
Th: 0.5000 0.5000 0.5000


Cu2P2S5 | PBE | relaxed

Output
- formation energy (no corrections) (eV per atom) = -0.029
- DFT total energy (eV/f.u.) = -39.91

Lattice parameters (Å, degrees): 9.5872 9.5872 6.0522 98.81 98.81 20.09
Positions (direct):
Cu: 0.1085 0.1085 0.3668
Cu: 0.8915 0.8915 0.6332
P: 0.4141 0.4141 0.2139
P: 0.5859 0.5859 0.7861
S: 0.0000 0.0000 0.5000
S: 0.1327 0.1327 0.0183
S: 0.3339 0.3339 0.4203
S: 0.6661 0.6661 0.5797
S: 0.8673 0.8673 0.9817


HfTl | PBE | relaxed

Output
- energy of formation from the pure elements (kJ per mole of atoms) = 85
- DFT total energy (eV/f.u.) = -10.56

Lattice parameters (Å, degrees): 5.0085 5.0085 5.7312 90.00 90.00 120.00
Positions (direct):
Hf: 0.3333 0.6667 0.2500
Hf: 0.6667 0.3333 0.7500
Tl: 0.3333 0.6667 0.7500
Tl: 0.6667 0.3333 0.2500


AcInCo | PBE | relaxed

Output
- energy of formation from the pure elements (kJ per mole of atoms) = -6
- relative energy among the computed polymorphs (eV per atom) = 0.1725
- DFT total energy (eV/f.u.) = -14.15

Lattice parameters (Å, degrees): 4.5444 4.5444 4.3868 90.00 90.00 120.00
Positions (direct):
Ac: 0.0000 0.0000 0.0000
In: 0.6667 0.3333 0.5000
Co: 0.3333 0.6667 0.5000


AcIn5 | PBE | relaxed

Output
- energy of formation from the pure elements (kJ per mole of atoms) = -23
- relative energy among the computed polymorphs (eV per atom) = 0.0277
- DFT total energy (eV/f.u.) = -19.24

Lattice parameters (Å, degrees): 7.3745 7.3745 5.0361 90.00 90.00 141.11
Positions (direct):
Ac: 0.0000 0.0000 0.0000
In: 0.1728 0.8272 0.5000
In: 0.3188 0.6812 0.0000
In: 0.5000 0.5000 0.5000
In: 0.6812 0.3188 0.0000
In: 0.8272 0.1728 0.5000


U2TcH | PBE | relaxed

Output
- DFT total energy (eV/f.u.) = -34.79

Lattice parameters (Å, degrees): 8.8618 8.8618 8.8618 19.66 19.66 19.66
Positions (direct):
U: 0.0797 0.0797 0.0797
U: 0.9203 0.9203 0.9203
Tc: 0.5000 0.5000 0.5000
H: 0.0000 0.0000 0.0000


Ba4PtBr | PBE | relaxed

Output
- formation energy (no corrections) (eV per atom) = 0.216
- relative energy among the computed polymorphs (eV per atom) = 1.0438
- DFT total energy (eV/f.u.) = -14.11

Lattice parameters (Å, degrees): 7.0841 7.0841 7.0841 60.00 60.00 60.00
Positions (direct):
Ba: 0.1253 0.1253 0.1253
Ba: 0.1253 0.1253 0.6242
Ba: 0.1253 0.6242 0.1253
Ba: 0.6242 0.1253 0.1253
Pt: 0.5000 0.5000 0.5000
Br: 0.7500 0.7500 0.7500


Tm2Ni2Pd | PBE | relaxed

Output
- energy of formation from the pure elements (kJ per mole of atoms) = -60
- DFT total energy (eV/f.u.) = -28.81

Lattice parameters (Å, degrees): 5.2243 5.2243 5.2243 133.82 114.34 84.00
Positions (direct):
Tm: 0.2136 0.2136 0.0000
Tm: 0.7864 0.7864 0.0000
Ni: 0.2055 0.5000 0.7055
Ni: 0.7945 0.5000 0.2945
Pd: 0.5000 0.0000 0.5000


MgMoPb2 | PBE | relaxed

Output
- energy of formation from the pure elements (kJ per mole of atoms) = 53
- DFT total energy (eV/f.u.) = -17.63

Lattice parameters (Å, degrees): 4.9608 4.9608 3.6161 90.00 90.00 90.00
Positions (direct):
Mg: 0.0000 0.0000 0.0000
Mo: 0.5000 0.5000 0.0000
Pb: 0.0000 0.5000 0.5000
Pb: 0.5000 0.0000 0.5000


SmYCdGa | PBE | relaxed

Output
- energy of formation from the pure elements (kJ per mole of atoms) = -44
- relative energy among the computed polymorphs (eV per atom) = 0.0134
- DFT total energy (eV/f.u.) = -16.95

Lattice parameters (Å, degrees): 5.2362 5.2362 5.2362 60.00 60.00 60.00
Positions (direct):
Sm: 0.0000 0.0000 0.0000
Y: 0.5000 0.5000 0.5000
Cd: 0.2500 0.2500 0.2500
Ga: 0.7500 0.7500 0.7500


KNa2TcH6 | PBE | relaxed

Output
- DFT total energy (eV/f.u.) = -34.20

Lattice parameters (Å, degrees): 5.8000 5.8000 5.8000 60.00 60.00 60.00
Positions (direct):
K: 0.0000 0.0000 0.0000
Na: 0.2500 0.2500 0.2500
Na: 0.7500 0.7500 0.7500
Tc: 0.5000 0.5000 0.5000
H: 0.2863 0.2863 0.7137
H: 0.2863 0.7137 0.2863
H: 0.2863 0.7137 0.7137
H: 0.7137 0.2863 0.2863
H: 0.7137 0.2863 0.7137
H: 0.7137 0.7137 0.2863